DFT (GGA-PBE) results for a relaxed structure of Nb5Mo6W.

Results
M_tot (μB/cell): 0.0
Formation energy (meV/atom): -134
ρ (g/cm3): 10.1
Crystal system: orthorhombic

Lattice parameters (Å, degrees): 7.892 7.892 7.892 146.39 131.85 59.99
Fractional coordinates of all 12 atoms:
Nb 0.000 0.000 0.000
Nb 0.167 0.667 0.500
Nb 0.334 0.334 0.000
Nb 0.666 0.666 0.000
Nb 0.833 0.333 0.500
Mo 0.086 0.835 0.251
Mo 0.253 0.500 0.753
Mo 0.417 0.165 0.251
Mo 0.583 0.835 0.749
Mo 0.747 0.500 0.247
Mo 0.914 0.165 0.749
W 0.500 0.000 0.500

DFT (GGA-PBE) results for a relaxed structure of TaBe2Cr.

Results
M_tot (μB/cell): 0.3
Offset from the most stable computed form (meV per atom): 120.3
Formation energy (meV/atom): 75
ρ (g/cm3): 8.8
Crystal system: tetragonal

Lattice parameters (Å, degrees): 3.621 3.621 3.627 90.00 90.00 90.00
Fractional coordinates of all 4 atoms:
Ta 0.000 0.000 0.000
Be 0.000 0.500 0.500
Be 0.500 0.000 0.500
Cr 0.500 0.500 0.000

DFT (GGA-PBE) results for a relaxed structure of CrIr.

Results
M_tot (μB/cell): 0.0
Formation energy (meV/atom): -115
ρ (g/cm3): 15.3
Crystal system: monoclinic

Lattice parameters (Å, degrees): 4.593 4.593 4.563 99.31 99.31 34.01
Fractional coordinates of all 4 atoms:
Cr 0.120 0.120 0.361
Cr 0.880 0.880 0.639
Ir 0.378 0.378 0.151
Ir 0.622 0.622 0.849

DFT (GGA-PBE) results for a relaxed structure of HfV2ZnC.

Results
M_tot (μB/cell): 3.4
Offset from the most stable computed form (meV per atom): 2701.7
Formation energy (meV/atom): 2771
ρ (g/cm3): 5.4
Crystal system: tetragonal

Lattice parameters (Å, degrees): 4.668 4.668 5.014 90.00 90.00 90.00
Fractional coordinates of all 5 atoms:
Hf 0.000 0.000 0.000
V 0.000 0.500 0.000
V 0.500 0.000 0.000
Zn 0.000 0.000 0.500
C 0.500 0.500 0.500

DFT (GGA-PBE) results for a relaxed structure of Cr2TcRu.

Results
M_tot (μB/cell): 0.0
Formation energy (meV/atom): 170
ρ (g/cm3): 9.6
Crystal system: orthorhombic

Lattice parameters (Å, degrees): 2.684 3.711 5.284 90.00 90.00 90.00
Fractional coordinates of all 4 atoms:
Cr 0.000 0.000 0.000
Cr 0.500 0.500 0.241
Tc 0.500 0.500 0.759
Ru 0.000 0.000 0.477

DFT (GGA-PBE) results for a relaxed structure of Mg3Zn2Cu4.

Results
M_tot (μB/cell): 0.0
Offset from the most stable computed form (meV per atom): 0.0
Formation energy (meV/atom): -99
ρ (g/cm3): 5.5
Crystal system: monoclinic

Lattice parameters (Å, degrees): 5.161 5.161 7.013 102.18 102.18 49.49
Fractional coordinates of all 9 atoms:
Mg 0.000 0.000 0.000
Mg 0.447 0.447 0.676
Mg 0.553 0.553 0.324
Zn 0.247 0.247 0.289
Zn 0.753 0.753 0.711
Cu 0.127 0.127 0.597
Cu 0.296 0.296 0.945
Cu 0.704 0.704 0.055
Cu 0.873 0.873 0.403

DFT (GGA-PBE) results for a relaxed structure of CdBiAu2.

Results
M_tot (μB/cell): 0.0
Formation energy (meV/atom): 56
ρ (g/cm3): 12.2
Crystal system: tetragonal

Lattice parameters (Å, degrees): 10.012 10.012 10.012 153.83 153.83 37.34
Fractional coordinates of all 8 atoms:
Cd 0.000 0.000 0.000
Cd 0.750 0.250 0.500
Bi 0.250 0.750 0.500
Bi 0.500 0.500 0.000
Au 0.101 0.625 0.976
Au 0.375 0.351 0.476
Au 0.649 0.125 0.024
Au 0.875 0.899 0.524

DFT (GGA-PBE) results for a relaxed structure of Li2CaSi.

Results
M_tot (μB/cell): 0.6
Final energy (eV per atom): -2.888
ρ (g/cm3): 1.6
Crystal system: tetragonal

Lattice parameters (Å, degrees): 4.268 4.268 4.665 90.00 90.00 90.00
Fractional coordinates of all 4 atoms:
Li 0.000 0.500 0.000
Li 0.500 0.000 0.000
Ca 0.000 0.000 0.500
Si 0.500 0.500 0.500

DFT (GGA-PBE) results for a relaxed structure of Sr2Li3CdPb4.

Results
M_tot (μB/cell): 0.0
Formation energy (meV/atom): -352
ρ (g/cm3): 6.8
Crystal system: tetragonal

Lattice parameters (Å, degrees): 4.833 4.833 11.831 90.00 90.00 90.00
Fractional coordinates of all 10 atoms:
Sr 0.000 0.500 0.249
Sr 0.500 0.000 0.751
Li 0.000 0.000 0.000
Li 0.000 0.500 0.627
Li 0.500 0.000 0.373
Cd 0.500 0.500 0.000
Pb 0.000 0.000 0.500
Pb 0.000 0.500 0.857
Pb 0.500 0.000 0.143
Pb 0.500 0.500 0.500

DFT (GGA-PBE) results for a relaxed structure of HfTiNF2.

Results
M_tot (μB/cell): 2.3
Offset from the most stable computed form (meV per atom): 195.4
ρ (g/cm3): 7.2
Crystal system: tetragonal

Lattice parameters (Å, degrees): 3.875 3.875 4.246 90.00 90.00 90.00
Fractional coordinates of all 5 atoms:
Hf 0.000 0.000 0.000
Ti 0.500 0.500 0.500
N 0.500 0.500 0.000
F 0.000 0.500 0.500
F 0.500 0.000 0.500

DFT (GGA-PBE) results for a relaxed structure of Sr2InPb2.

Results
M_tot (μB/cell): 0.0
Offset from the most stable computed form (meV per atom): 0.0
Formation energy (meV/atom): -460
ρ (g/cm3): 6.8
Crystal system: monoclinic

Lattice parameters (Å, degrees): 6.835 6.835 11.898 113.66 113.66 43.51
Fractional coordinates of all 10 atoms:
Sr 0.002 0.002 0.173
Sr 0.176 0.176 0.606
Sr 0.824 0.824 0.394
Sr 0.998 0.998 0.827
In 0.304 0.304 0.159
In 0.696 0.696 0.841
Pb 0.351 0.351 0.922
Pb 0.457 0.457 0.608
Pb 0.543 0.543 0.392
Pb 0.649 0.649 0.078

DFT (GGA-PBE) results for a relaxed structure of K3LaPr2Se6.

Results
M_tot (μB/cell): 0.0
Final energy (eV per atom): -5.002
ρ (g/cm3): 4.3
Crystal system: monoclinic

Lattice parameters (Å, degrees): 7.625 7.625 8.112 99.01 99.01 120.00
Fractional coordinates of all 12 atoms:
K 0.000 0.000 0.000
K 0.333 0.667 0.000
K 0.667 0.333 0.000
La 0.500 0.500 0.500
Pr 0.167 0.833 0.500
Pr 0.833 0.167 0.500
Se 0.094 0.429 0.288
Se 0.236 0.236 0.712
Se 0.429 0.094 0.288
Se 0.571 0.906 0.712
Se 0.764 0.764 0.288
Se 0.906 0.571 0.712